Density functional theory data (PBEsol) for a geometry-optimized NaHfTiRe2 structure.

Summary:
Calculated total energy ... -35.1 eV for the cell shown
Size of the total moment ... 0.000 μB/atom

Lattice parameters (Å, degrees): 4.2667 4.5961 4.5961 90.00 90.00 90.00
Last column: nearest neighbours and their distance in Å.
Atoms (fractional coordinates):
Re (0.0000, 0.5000, 0.0000)  2 Na 2.30
Re (0.0000, 0.0000, 0.5000)  2 Na 2.30
Hf (0.5000, 0.0000, 0.0000)  2 Na 2.13
Ti (0.5000, 0.5000, 0.5000)  8 Re 3.14, 4 Hf 3.25
Na (0.0000, 0.0000, 0.0000)  2 Hf 2.13, 4 Re 2.30